A plane-wave DFT calculation with PBE was carried out for a relaxed K4O2F3 crystal.

The structure in CIF format:
```
data_K4O2F3
_chemical_formula_sum 'K16 O8 F12'
_cell_length_a 13.5619
_cell_length_b 7.9005
_cell_length_c 7.3366
_cell_angle_alpha 90.00
_cell_angle_beta 100.18
_cell_angle_gamma 90.00
_space_group_name_H-M_alt 'C 1 2/c 1'
_space_group_IT_number 15
_space_group_name_Hall '-C 2yc'
loop_
_atom_site_label
_atom_site_type_symbol
_atom_site_fract_x
_atom_site_fract_y
_atom_site_fract_z
K1 K 0.0186 0.2323 0.0311
K2 K 0.2473 0.4190 0.6855
O1 O 0.2060 0.2148 0.9608
F1 F 0.0000 0.0231 0.7500
F2 F 0.1382 0.3570 0.3568
```

A plane-wave DFT calculation with PBE was carried out for a relaxed KOsO2F crystal.

The structure in CIF format:
```
data_KOsO2F
_chemical_formula_sum 'K1 Os1 O2 F1'
_cell_length_a 3.7108
_cell_length_b 3.7108
_cell_length_c 6.4893
_cell_angle_alpha 90.00
_cell_angle_beta 90.00
_cell_angle_gamma 90.00
_space_group_name_H-M_alt 'P 4/m m m'
_space_group_IT_number 123
_space_group_name_Hall '-P 4 2'
loop_
_atom_site_label
_atom_site_type_symbol
_atom_site_fract_x
_atom_site_fract_y
_atom_site_fract_z
K1 K 0.0000 0.0000 0.0000
Os1 Os 0.5000 0.5000 0.5000
O1 O 0.0000 0.5000 0.5000
F1 F 0.5000 0.5000 0.0000
```

# KOsOF2 (PBE, optimized geometry)
# distance to the lowest polymorph of the same formula = 2.006 eV/atom
data_KOsOF2
_chemical_formula_sum 'K1 Os1 O1 F2'
_cell_length_a 4.5204
_cell_length_b 4.5204
_cell_length_c 4.6145
_cell_angle_alpha 90.00
_cell_angle_beta 90.00
_cell_angle_gamma 90.00
_space_group_name_H-M_alt 'P 4/m m m'
_space_group_IT_number 123
_space_group_name_Hall '-P 4 2'
loop_
_atom_site_label
_atom_site_type_symbol
_atom_site_fract_x
_atom_site_fract_y
_atom_site_fract_z
K1 K 0.0000 0.0000 0.0000
Os1 Os 0.5000 0.5000 0.5000
O1 O 0.0000 0.0000 0.5000
F1 F 0.0000 0.5000 0.0000

# KOsOF2 (PBE, optimized geometry)
# distance to the lowest polymorph of the same formula = 0.000 eV/atom
data_KOsOF2
_chemical_formula_sum 'K1 Os1 O1 F2'
_cell_length_a 4.5076
_cell_length_b 4.5076
_cell_length_c 3.7477
_cell_angle_alpha 90.00
_cell_angle_beta 90.00
_cell_angle_gamma 90.00
_space_group_name_H-M_alt 'P 4/m m m'
_space_group_IT_number 123
_space_group_name_Hall '-P 4 2'
loop_
_atom_site_label
_atom_site_type_symbol
_atom_site_fract_x
_atom_site_fract_y
_atom_site_fract_z
K1 K 0.0000 0.0000 0.0000
Os1 Os 0.5000 0.5000 0.5000
O1 O 0.5000 0.5000 0.0000
F1 F 0.0000 0.5000 0.5000

A plane-wave DFT calculation with PBE was carried out for a relaxed KOsO2F crystal.

The structure in CIF format:
```
data_KOsO2F
_chemical_formula_sum 'K1 Os1 O2 F1'
_cell_length_a 4.4953
_cell_length_b 4.4953
_cell_length_c 4.4234
_cell_angle_alpha 90.00
_cell_angle_beta 90.00
_cell_angle_gamma 90.00
_space_group_name_H-M_alt 'P 4/m m m'
_space_group_IT_number 123
_space_group_name_Hall '-P 4 2'
loop_
_atom_site_label
_atom_site_type_symbol
_atom_site_fract_x
_atom_site_fract_y
_atom_site_fract_z
K1 K 0.0000 0.0000 0.0000
Os1 Os 0.5000 0.5000 0.5000
O1 O 0.0000 0.5000 0.0000
F1 F 0.0000 0.0000 0.5000
```

# KP2OF (PBE, optimized geometry)
# distance to the lowest polymorph of the same formula = 0.993 eV/atom
data_KP2OF
_chemical_formula_sum 'K1 P2 O1 F1'
_cell_length_a 6.7936
_cell_length_b 6.7936
_cell_length_c 4.8032
_cell_angle_alpha 90.00
_cell_angle_beta 90.00
_cell_angle_gamma 90.00
_space_group_name_H-M_alt 'P 4/m m m'
_space_group_IT_number 123
_space_group_name_Hall '-P 4 2'
loop_
_atom_site_label
_atom_site_type_symbol
_atom_site_fract_x
_atom_site_fract_y
_atom_site_fract_z
K1 K 0.0000 0.0000 0.0000
P1 P 0.0000 0.5000 0.0000
O1 O 0.0000 0.0000 0.5000
F1 F 0.5000 0.5000 0.5000

A plane-wave DFT calculation with PBE was carried out for a relaxed K2PO3F crystal.

The structure in CIF format:
```
data_K2PO3F
_chemical_formula_sum 'K8 P4 O12 F4'
_cell_length_a 7.7479
_cell_length_b 6.0525
_cell_length_c 10.2311
_cell_angle_alpha 90.00
_cell_angle_beta 90.00
_cell_angle_gamma 90.00
_space_group_name_H-M_alt 'P n m a'
_space_group_IT_number 62
_space_group_name_Hall '-P 2ac 2n'
loop_
_atom_site_label
_atom_site_type_symbol
_atom_site_fract_x
_atom_site_fract_y
_atom_site_fract_z
K1 K 0.0137 0.2500 0.2241
K2 K 0.1806 0.2500 0.5700
P1 P 0.2384 0.2500 0.9066
O1 O 0.1680 0.7500 0.5377
O2 O 0.2451 0.5377 0.3280
F1 F 0.0300 0.2500 0.9502
```

# KP2OF (PBE, optimized geometry)
# distance to the lowest polymorph of the same formula = 0.000 eV/atom
data_KP2OF
_chemical_formula_sum 'K1 P2 O1 F1'
_cell_length_a 4.1441
_cell_length_b 4.1441
_cell_length_c 5.8127
_cell_angle_alpha 90.00
_cell_angle_beta 90.00
_cell_angle_gamma 90.00
_space_group_name_H-M_alt 'P 4/m m m'
_space_group_IT_number 123
_space_group_name_Hall '-P 4 2'
loop_
_atom_site_label
_atom_site_type_symbol
_atom_site_fract_x
_atom_site_fract_y
_atom_site_fract_z
K1 K 0.0000 0.0000 0.0000
P1 P 0.0000 0.5000 0.5000
O1 O 0.5000 0.5000 0.0000
F1 F 0.5000 0.5000 0.5000

A plane-wave DFT calculation with PBE was carried out for a relaxed KPO2F crystal.

The structure in CIF format:
```
data_KPO2F
_chemical_formula_sum 'K1 P1 O2 F1'
_cell_length_a 4.8646
_cell_length_b 4.8646
_cell_length_c 3.6283
_cell_angle_alpha 90.00
_cell_angle_beta 90.00
_cell_angle_gamma 90.00
_space_group_name_H-M_alt 'P 4/m m m'
_space_group_IT_number 123
_space_group_name_Hall '-P 4 2'
loop_
_atom_site_label
_atom_site_type_symbol
_atom_site_fract_x
_atom_site_fract_y
_atom_site_fract_z
K1 K 0.0000 0.0000 0.0000
P1 P 0.5000 0.5000 0.0000
O1 O 0.0000 0.5000 0.5000
F1 F 0.5000 0.5000 0.5000
```

A plane-wave DFT calculation with PBE was carried out for a relaxed KPO2F crystal.

The structure in CIF format:
```
data_KPO2F
_chemical_formula_sum 'K1 P1 O2 F1'
_cell_length_a 4.7576
_cell_length_b 4.7576
_cell_length_c 7.1587
_cell_angle_alpha 90.00
_cell_angle_beta 90.00
_cell_angle_gamma 90.00
_space_group_name_H-M_alt 'P 4/m m m'
_space_group_IT_number 123
_space_group_name_Hall '-P 4 2'
loop_
_atom_site_label
_atom_site_type_symbol
_atom_site_fract_x
_atom_site_fract_y
_atom_site_fract_z
K1 K 0.0000 0.0000 0.0000
P1 P 0.0000 0.0000 0.5000
O1 O 0.0000 0.5000 0.0000
F1 F 0.5000 0.5000 0.5000
```

A plane-wave DFT calculation with PBE was carried out for a relaxed KPO2F crystal.

The structure in CIF format:
```
data_KPO2F
_chemical_formula_sum 'K1 P1 O2 F1'
_cell_length_a 4.7704
_cell_length_b 4.7704
_cell_length_c 4.6083
_cell_angle_alpha 90.00
_cell_angle_beta 90.00
_cell_angle_gamma 90.00
_space_group_name_H-M_alt 'P 4/m m m'
_space_group_IT_number 123
_space_group_name_Hall '-P 4 2'
loop_
_atom_site_label
_atom_site_type_symbol
_atom_site_fract_x
_atom_site_fract_y
_atom_site_fract_z
K1 K 0.0000 0.0000 0.0000
P1 P 0.5000 0.5000 0.5000
O1 O 0.0000 0.5000 0.0000
F1 F 0.0000 0.0000 0.5000
```

A plane-wave DFT calculation with PBE was carried out for a relaxed K2POF5 crystal.

The structure in CIF format:
```
data_K2POF5
_chemical_formula_sum 'K4 P2 O2 F10'
_cell_length_a 5.6362
_cell_length_b 5.6362
_cell_length_c 8.7736
_cell_angle_alpha 90.00
_cell_angle_beta 90.00
_cell_angle_gamma 90.00
_space_group_name_H-M_alt 'I 4 m m'
_space_group_IT_number 107
_space_group_name_Hall 'I 4 -2'
loop_
_atom_site_label
_atom_site_type_symbol
_atom_site_fract_x
_atom_site_fract_y
_atom_site_fract_z
K1 K 0.0000 0.5000 0.0000
P1 P 0.0000 0.0000 0.2359
O1 O 0.0000 0.0000 0.0610
F1 F 0.0000 0.0000 0.4370
F2 F 0.2118 0.2118 0.2590
```

A plane-wave DFT calculation with PBE was carried out for a relaxed K5PO4F2 crystal.

The structure in CIF format:
```
data_K5PO4F2
_chemical_formula_sum 'K10 P2 O8 F4'
_cell_length_a 7.5745
_cell_length_b 9.6090
_cell_length_c 6.2013
_cell_angle_alpha 90.00
_cell_angle_beta 90.00
_cell_angle_gamma 90.00
_space_group_name_H-M_alt 'A m m 2'
_space_group_IT_number 38
_space_group_name_Hall 'A 2 -2'
loop_
_atom_site_label
_atom_site_type_symbol
_atom_site_fract_x
_atom_site_fract_y
_atom_site_fract_z
K1 K 0.0000 0.0000 0.0000
K2 K 0.2681 0.1852 0.4825
P1 P 0.5000 0.0000 0.9819
O1 O 0.3322 0.0000 0.1311
O2 O 0.5000 0.1319 0.8331
F1 F 0.0000 0.2178 0.7415
```

A plane-wave DFT calculation with PBE was carried out for a relaxed K2PO2F4 crystal.

The structure in CIF format:
```
data_K2PO2F4
_chemical_formula_sum 'K4 P2 O4 F8'
_cell_length_a 9.7981
_cell_length_b 5.6290
_cell_length_c 4.8612
_cell_angle_alpha 90.00
_cell_angle_beta 97.04
_cell_angle_gamma 90.00
_space_group_name_H-M_alt 'C 1 2/m 1'
_space_group_IT_number 12
_space_group_name_Hall '-C 2y'
loop_
_atom_site_label
_atom_site_type_symbol
_atom_site_fract_x
_atom_site_fract_y
_atom_site_fract_z
K1 K 0.1778 0.0000 0.2929
P1 P 0.0000 0.5000 0.0000
O1 O 0.1394 0.5000 0.2136
F1 F 0.0687 0.2842 0.8074
```

A plane-wave DFT calculation with PBE was carried out for a relaxed KPO2F crystal.

The structure in CIF format:
```
data_KPO2F
_chemical_formula_sum 'K1 P1 O2 F1'
_cell_length_a 3.5785
_cell_length_b 3.5785
_cell_length_c 4.6392
_cell_angle_alpha 90.00
_cell_angle_beta 90.00
_cell_angle_gamma 90.00
_space_group_name_H-M_alt 'P 4/m m m'
_space_group_IT_number 123
_space_group_name_Hall '-P 4 2'
loop_
_atom_site_label
_atom_site_type_symbol
_atom_site_fract_x
_atom_site_fract_y
_atom_site_fract_z
K1 K 0.0000 0.0000 0.0000
P1 P 0.5000 0.5000 0.5000
O1 O 0.0000 0.5000 0.5000
F1 F 0.5000 0.5000 0.0000
```

A plane-wave DFT calculation with PBE was carried out for a relaxed KPO2F2 crystal.

The structure in CIF format:
```
data_KPO2F2
_chemical_formula_sum 'K4 P4 O8 F8'
_cell_length_a 8.2012
_cell_length_b 6.2439
_cell_length_c 7.8105
_cell_angle_alpha 90.00
_cell_angle_beta 90.00
_cell_angle_gamma 90.00
_space_group_name_H-M_alt 'P n m a'
_space_group_IT_number 62
_space_group_name_Hall '-P 2ac 2n'
loop_
_atom_site_label
_atom_site_type_symbol
_atom_site_fract_x
_atom_site_fract_y
_atom_site_fract_z
K1 K 0.1519 0.2500 0.1445
P1 P 0.0891 0.2500 0.6954
O1 O 0.0948 0.0405 0.7860
F1 F 0.0635 0.7500 0.4323
F2 F 0.2268 0.2500 0.5504
```

A plane-wave DFT calculation with PBE was carried out for a relaxed K4Ti2PO4F9 crystal.

The structure in CIF format:
```
data_K4Ti2PO4F9
_chemical_formula_sum 'K16 Ti8 P4 O16 F36'
_cell_length_a 5.9367
_cell_length_b 11.1574
_cell_length_c 20.4803
_cell_angle_alpha 90.00
_cell_angle_beta 105.69
_cell_angle_gamma 90.00
_space_group_name_H-M_alt 'P 1 21/c 1'
_space_group_IT_number 14
_space_group_name_Hall '-P 2ybc'
loop_
_atom_site_label
_atom_site_type_symbol
_atom_site_fract_x
_atom_site_fract_y
_atom_site_fract_z
K1 K 0.0437 0.2318 0.0157
K2 K 0.1467 0.5442 0.1527
K3 K 0.1582 0.5457 0.6676
K4 K 0.3709 0.7442 0.3599
Ti1 Ti 0.2202 0.2469 0.7448
Ti2 Ti 0.5000 0.0000 0.0000
Ti3 Ti 0.5000 0.0000 0.5000
P1 P 0.4565 0.2480 0.4081
O1 O 0.2655 0.2209 0.8405
O2 O 0.2982 0.7503 0.0999
O3 O 0.3830 0.1233 0.4308
O4 O 0.4199 0.1602 0.9622
F1 F 0.0187 0.6276 0.7762
F2 F 0.0205 0.6376 0.2604
F3 F 0.1665 0.2287 0.1486
F4 F 0.2153 0.5607 0.4422
F5 F 0.2423 0.5975 0.9556
F6 F 0.3262 0.0716 0.5558
F7 F 0.3491 0.0397 0.0677
F8 F 0.4447 0.1308 0.2573
F9 F 0.4455 0.1318 0.7373
```

| no. | DOS(E_F) (states/eV per cell) | calculated volume (Å³ per atom) | E_form (uncorrected) (kJ per mole of atoms) |
| --- | --- | --- | --- |
| 1 | 2.80 | 21.49 | -195.83 |
| 2 | 2.13 | 17.87 | -137.90 |
| 3 | 3.91 | 18.86 | 59.33 |
| 4 | 2.54 | 15.23 | -134.18 |
| 5 | 2.62 | 17.88 | 120.23 |
| 6 | 15.86 | 44.34 | 128.34 |
| 7 | 0.00 | 17.14 | -233.09 |
| 8 | 5.12 | 19.97 | 32.52 |
| 9 | 3.91 | 17.17 | 17.83 |
| 10 | 8.39 | 32.41 | 102.18 |
| 11 | 5.61 | 20.97 | 73.34 |
| 12 | 0.00 | 15.48 | -253.23 |
| 13 | 0.00 | 18.81 | -224.68 |
| 14 | 10.20 | 14.78 | -215.89 |
| 15 | 0.65 | 11.88 | -150.75 |
| 16 | 0.00 | 16.66 | -241.77 |
| 17 | 0.00 | 16.33 | -292.80 |